[1]
A relaxed CuH14C4Br4N2Cl2 crystal, computed with PBE.

Geometry as POSCAR:
```
CuH14C4Br4N2Cl2
1.0
12.3706 0.0000 0.0000
0.0000 7.9580 0.0000
-2.0214 0.0000 7.1927
Cu H C Br N Cl
2 28 8 8 4 4
direct
0.0000 0.0000 0.0000 Cu
0.0000 0.5000 0.5000 Cu
0.1478 0.0369 0.6705 H
0.1478 0.4631 0.1705 H
0.1523 0.6538 0.0703 H
0.1523 0.8462 0.5703 H
0.1541 0.0253 0.4497 H
0.1541 0.4747 0.9497 H
0.3281 0.2157 0.7594 H
0.3281 0.2843 0.2594 H
0.3307 0.6042 0.2770 H
0.3307 0.8958 0.7770 H
0.3366 0.6114 0.0413 H
0.3366 0.8886 0.5413 H
0.3437 0.2024 0.5306 H
0.3437 0.2976 0.0306 H
0.6563 0.7024 0.9694 H
0.6563 0.7976 0.4694 H
0.6634 0.1114 0.4587 H
0.6634 0.3886 0.9587 H
0.6693 0.1042 0.2230 H
0.6693 0.3958 0.7230 H
0.6719 0.7157 0.7406 H
0.6719 0.7843 0.2406 H
0.8459 0.5253 0.0503 H
0.8459 0.9747 0.5503 H
0.8477 0.1538 0.4297 H
0.8477 0.3462 0.9297 H
0.8522 0.5369 0.8295 H
0.8522 0.9631 0.3295 H
0.3079 0.5375 0.1436 C
0.3079 0.9625 0.6436 C
0.3592 0.1366 0.6639 C
0.3592 0.3634 0.1639 C
0.6408 0.6366 0.8361 C
0.6408 0.8634 0.3361 C
0.6921 0.0375 0.3564 C
0.6921 0.4625 0.8564 C
0.0343 0.2278 0.7780 Br
0.0343 0.2722 0.2780 Br
0.2008 0.5487 0.6047 Br
0.2008 0.9513 0.1047 Br
0.7992 0.0487 0.8953 Br
0.7992 0.4513 0.3953 Br
0.9657 0.7278 0.7220 Br
0.9657 0.7722 0.2220 Br
0.1829 0.5307 0.0797 N
0.1829 0.9693 0.5797 N
0.8171 0.0307 0.4203 N
0.8171 0.4693 0.9203 N
0.4926 0.6157 0.7449 Cl
0.4926 0.8843 0.2449 Cl
0.5074 0.1157 0.7551 Cl
0.5074 0.3843 0.2551 Cl
```

crystal system = monoclinic
excess energy over the best structure of this formula in the dataset = 0.005 eV/atom



[2]
A relaxed CuH14C4Br4N2Cl2 crystal, computed with PBE.

Geometry as POSCAR:
```
CuH14C4Br4N2Cl2
1.0
7.6611 0.0000 0.0000
0.0000 7.8350 0.0000
-0.3598 0.0000 23.3648
Cu H C Br N Cl
4 56 16 16 8 8
direct
0.0000 0.1813 0.0000 Cu
0.0000 0.8187 0.5000 Cu
0.4956 0.3162 0.5033 Cu
0.4956 0.6838 0.0033 Cu
0.0021 0.1611 0.6106 H
0.0021 0.8389 0.1106 H
0.0253 0.4629 0.1354 H
0.0253 0.5371 0.6354 H
0.0750 0.2885 0.4369 H
0.0750 0.7115 0.9369 H
0.1323 0.2993 0.5779 H
0.1323 0.7007 0.0779 H
0.1380 0.4494 0.3156 H
0.1380 0.5506 0.8156 H
0.1538 0.3822 0.6732 H
0.1538 0.6178 0.1732 H
0.2364 0.2554 0.3389 H
0.2364 0.7446 0.8389 H
0.2441 0.1389 0.8231 H
0.2441 0.8611 0.3231 H
0.3476 0.2492 0.1574 H
0.3476 0.7508 0.6574 H
0.3729 0.1980 0.9212 H
0.3729 0.8020 0.4212 H
0.3834 0.0396 0.7724 H
0.3834 0.9604 0.2724 H
0.4013 0.2185 0.0589 H
0.4013 0.7815 0.5589 H
0.4487 0.0280 0.0911 H
0.4487 0.9720 0.5911 H
0.4972 0.0342 0.3663 H
0.4972 0.9658 0.8663 H
0.5166 0.3395 0.8954 H
0.5166 0.6605 0.3954 H
0.5286 0.3772 0.1366 H
0.5286 0.6228 0.6366 H
0.5572 0.0196 0.1926 H
0.5572 0.9804 0.6926 H
0.5862 0.1687 0.9343 H
0.5862 0.8313 0.4343 H
0.6093 0.1560 0.0694 H
0.6093 0.8440 0.5694 H
0.6459 0.1146 0.8360 H
0.6459 0.8854 0.3360 H
0.7367 0.1534 0.1749 H
0.7367 0.8466 0.6749 H
0.7505 0.3756 0.6692 H
0.7505 0.6244 0.1692 H
0.8387 0.3253 0.3352 H
0.8387 0.6747 0.8352 H
0.8591 0.3308 0.4354 H
0.8591 0.6692 0.9354 H
0.8769 0.4818 0.7236 H
0.8769 0.5182 0.2236 H
0.9145 0.3295 0.5735 H
0.9145 0.6705 0.0735 H
0.9389 0.1335 0.3604 H
0.9389 0.8665 0.8604 H
0.9964 0.4797 0.4115 H
0.9964 0.5203 0.9115 H
0.0276 0.4051 0.6516 C
0.0276 0.5949 0.1516 C
0.1172 0.3114 0.3202 C
0.1172 0.6886 0.8202 C
0.3769 0.1368 0.8059 C
0.3769 0.8632 0.3059 C
0.4840 0.2458 0.1438 C
0.4840 0.7542 0.6438 C
0.5126 0.0986 0.8517 C
0.5126 0.9014 0.3517 C
0.5987 0.1526 0.1869 C
0.5987 0.8474 0.6869 C
0.8775 0.3790 0.6918 C
0.8775 0.6210 0.1918 C
0.9569 0.2717 0.3551 C
0.9569 0.7283 0.8551 C
0.0161 0.1332 0.1035 Br
0.0161 0.8668 0.6035 Br
0.2321 0.4047 0.0088 Br
0.2321 0.5953 0.5088 Br
0.2618 0.0983 0.4806 Br
0.2618 0.9017 0.9806 Br
0.4622 0.2643 0.6061 Br
0.4622 0.7357 0.1061 Br
0.5266 0.3693 0.4009 Br
0.5266 0.6307 0.9009 Br
0.7337 0.4729 0.0246 Br
0.7337 0.5271 0.5246 Br
0.7568 0.0285 0.4914 Br
0.7568 0.9715 0.9914 Br
0.9844 0.2288 0.8962 Br
0.9844 0.7712 0.3962 Br
0.0171 0.2909 0.6006 N
0.0171 0.7091 0.1006 N
0.4866 0.1561 0.0876 N
0.4866 0.8439 0.5876 N
0.4955 0.2090 0.9033 N
0.4955 0.7910 0.4033 N
0.9745 0.3476 0.4133 N
0.9745 0.6524 0.9133 N
0.0885 0.2255 0.2498 Cl
0.0885 0.7745 0.7498 Cl
0.4119 0.3402 0.7728 Cl
0.4119 0.6598 0.2728 Cl
0.5831 0.2562 0.2548 Cl
0.5831 0.7438 0.7548 Cl
0.8982 0.1810 0.7301 Cl
0.8982 0.8190 0.2301 Cl
```

crystal system = monoclinic
excess energy over the best structure of this formula in the dataset = 0.000 eV/atom



[3]
A relaxed Dy4CBr2Cl3 crystal, computed with PBE.

Geometry as POSCAR:
```
Dy4CBr2Cl3
1.0
8.7806 -1.8725 0.0000
8.7806 1.8725 0.0000
-1.7879 0.0000 7.6050
Dy C Br Cl
4 1 2 3
direct
0.0000 0.0000 0.2106 Dy
0.0000 0.0000 0.7894 Dy
0.3599 0.3599 0.9225 Dy
0.6401 0.6401 0.0775 Dy
0.5000 0.5000 0.0000 C
0.1707 0.1707 0.8193 Br
0.8293 0.8293 0.1807 Br
0.1597 0.1597 0.3356 Cl
0.5000 0.5000 0.5000 Cl
0.8403 0.8403 0.6644 Cl
```

crystal system = monoclinic
excess energy over the best structure of this formula in the dataset = 0.000 eV/atom



[4]
A relaxed Dy4CBr2Cl3 crystal, computed with PBE.

Geometry as POSCAR:
```
Dy4CBr2Cl3
1.0
8.5835 -1.8753 0.0000
8.5835 1.8753 0.0000
-1.7018 0.0000 7.6595
Dy C Br Cl
4 1 2 3
direct
0.0025 0.0025 0.2914 Dy
0.3572 0.3572 0.4265 Dy
0.6428 0.6428 0.5735 Dy
0.9975 0.9975 0.7086 Dy
0.5000 0.5000 0.5000 C
0.1669 0.1669 0.8512 Br
0.8331 0.8331 0.1488 Br
0.1708 0.1708 0.3366 Cl
0.5000 0.5000 0.0000 Cl
0.8292 0.8292 0.6634 Cl
```

crystal system = monoclinic
excess energy over the best structure of this formula in the dataset = 0.006 eV/atom



[5]
A relaxed Dy2C2BrCl crystal, computed with PBE.

Geometry as POSCAR:
```
Dy2C2BrCl
1.0
6.9874 0.0000 0.0000
0.0000 3.7545 0.0000
-1.6010 0.0000 10.5413
Dy C Br Cl
4 4 2 2
direct
0.0000 0.0000 0.0000 Dy
0.1901 0.0000 0.7237 Dy
0.5000 0.5000 0.0000 Dy
0.6901 0.5000 0.7237 Dy
0.0077 0.5000 0.8266 C
0.1829 0.5000 0.8975 C
0.5077 0.0000 0.8266 C
0.6829 0.0000 0.8975 C
0.3050 0.5000 0.5437 Br
0.8050 0.0000 0.5437 Br
0.3858 0.0000 0.1606 Cl
0.8858 0.5000 0.1606 Cl
```

crystal system = monoclinic
E = -6.360 eV/atom



[6]
A relaxed Dy4CBrCl4 crystal, computed with PBE.

Geometry as POSCAR:
```
Dy4CBrCl4
1.0
8.4944 -1.8755 0.0000
8.4944 1.8755 0.0000
-1.8942 0.0000 7.8454
Dy C Br Cl
4 1 1 4
direct
0.0013 0.0013 0.2980 Dy
0.3554 0.3554 0.4225 Dy
0.6446 0.6446 0.5775 Dy
0.9987 0.9987 0.7020 Dy
0.5000 0.5000 0.5000 C
0.5000 0.5000 0.0000 Br
0.1641 0.1641 0.8258 Cl
0.1712 0.1712 0.3452 Cl
0.8288 0.8288 0.6548 Cl
0.8359 0.8359 0.1742 Cl
```

crystal system = monoclinic
E = -5.318 eV/atom



[7]
A relaxed Dy4CBr3Cl2 crystal, computed with PBE.

Geometry as POSCAR:
```
Dy4CBr3Cl2
1.0
8.5881 -1.8920 0.0000
8.5881 1.8920 0.0000
-1.8439 0.0000 7.9101
Dy C Br Cl
4 1 3 2
direct
0.0018 0.0018 0.2991 Dy
0.3568 0.3568 0.4273 Dy
0.6432 0.6432 0.5727 Dy
0.9982 0.9982 0.7009 Dy
0.5000 0.5000 0.5000 C
0.1686 0.1686 0.8404 Br
0.5000 0.5000 0.0000 Br
0.8314 0.8314 0.1596 Br
0.1708 0.1708 0.3455 Cl
0.8292 0.8292 0.6545 Cl
```

crystal system = monoclinic
excess energy over the best structure of this formula in the dataset = 0.004 eV/atom



[8]
A relaxed Dy4CBr3Cl2 crystal, computed with PBE.

Geometry as POSCAR:
```
Dy4CBr3Cl2
1.0
8.7765 -1.8915 0.0000
8.7765 1.8915 0.0000
-1.8098 0.0000 7.8613
Dy C Br Cl
4 1 3 2
direct
0.9997 0.9997 0.2024 Dy
0.0003 0.0003 0.7976 Dy
0.3601 0.3601 0.9253 Dy
0.6399 0.6399 0.0747 Dy
0.5000 0.5000 0.0000 C
0.1714 0.1714 0.8266 Br
0.5000 0.5000 0.5000 Br
0.8286 0.8286 0.1734 Br
0.1594 0.1594 0.3223 Cl
0.8406 0.8406 0.6777 Cl
```

crystal system = monoclinic
excess energy over the best structure of this formula in the dataset = 0.000 eV/atom



Number 1: calculated volume 708 Å³ per cell. Number 2: calculated volume 1402 Å³ per cell. Number 3: calculated volume 250 Å³ per cell. Number 4: calculated volume 247 Å³ per cell. Number 5: calculated volume 277 Å³ per cell. Number 6: calculated volume 250 Å³ per cell. Number 7: calculated volume 257 Å³ per cell. Number 8: calculated volume 261 Å³ per cell.